Record 1
VASP calculation (GGA-PBEsol) on an optimized crystal structure of SbWAu2.

Output
Its density of states at the Fermi level is 0.517 states/eV/atom. The formation energy without anion corrections is 0.39 eV per atom.

POSCAR file:
```
SbWAu2
1.0
-1.5729 2.1919 -1.3532
-2.3529 1.2597 1.4094
4.3245 7.4968 3.7507
Au Sb W
2 1 1
Direct
0.7445 0.7445 0.7665
0.9969 0.9969 0.0093
0.5048 0.5048 0.4855
0.2538 0.2538 0.2387
```


Record 2
VASP calculation (GGA-PBEsol) on an optimized crystal structure of Ba2InRe.

Output
Its density of states at the Fermi level is 0.624 states/eV/atom. For the total energy, the calculation gives -18.6 eV/cell.

POSCAR file:
```
Ba2InRe
1.0
3.7389 0.0000 0.0000
0.0000 3.7389 0.0000
0.0000 0.0000 9.3307
In Ba Re
1 2 1
Direct
0.0000 0.0000 0.5767
0.0000 0.0000 0.9166
0.5000 0.5000 0.3401
0.5000 0.5000 0.6666
```


Record 3
VASP calculation (GGA-PBEsol) on an optimized crystal structure of Ca3Ga3N5.

Output
Its density of states at the Fermi level is 0.000 states/eV/atom. The formation energy without anion corrections is -0.81 eV per atom.

POSCAR file:
```
Ca3Ga3N5
1.0
5.8428 -0.0007 -0.0248
-0.6145 6.7906 0.0112
-2.2661 -2.7244 7.5792
N Ca Ga
10 6 6
Direct
0.2889 0.7683 0.9041
0.7568 0.5289 0.8878
0.8518 0.6961 0.5085
0.0265 0.8972 0.2166
0.2432 0.4711 0.1122
0.3978 0.9326 0.6185
0.6022 0.0674 0.3815
0.9735 0.1028 0.7834
0.1482 0.3039 0.4915
0.7111 0.2317 0.0959
0.3459 0.3603 0.8042
0.1827 0.5875 0.3934
0.6541 0.6397 0.1958
0.3354 0.1338 0.1188
0.6646 0.8662 0.8812
0.8173 0.4125 0.6066
0.9047 0.3120 0.9689
0.1389 0.8658 0.7166
0.7134 0.9446 0.5642
0.2866 0.0554 0.4358
0.8611 0.1342 0.2834
0.0953 0.6880 0.0311
```


Record 4
VASP calculation (GGA-PBEsol) on an optimized crystal structure of Al5Ag7.

Output
The calculation puts the excess energy over the best structure of this formula in the dataset at 0.012 eV per atom. Its density of states at the Fermi level is 0.286 states/eV/atom.

POSCAR file:
```
Al5Ag7
1.0
-0.9476 4.8788 -0.4420
-2.0590 -1.7289 4.1930
6.9556 1.7248 4.1268
Ag Al
7 5
Direct
0.0000 0.0000 0.3420
0.5000 0.0000 0.1749
0.5000 0.5000 0.6604
0.0000 0.0000 0.9857
0.5000 0.5000 0.9966
0.0000 0.5000 0.1658
0.0000 0.5000 0.5065
0.5000 0.0000 0.5025
0.5000 0.0000 0.8395
0.0000 0.0000 0.6654
0.5000 0.5000 0.3237
0.0000 0.5000 0.8368
```


Record 5
VASP calculation (GGA-PBEsol) on an optimized crystal structure of LaHPt2.

Output
Its density of states at the Fermi level is 0.677 states/eV/atom. For the total energy, the calculation gives -22.2 eV/cell.

POSCAR file:
```
LaHPt2
1.0
-3.4179 -2.8941 -1.2372
0.5762 -2.8666 -3.6110
0.4537 -4.5692 0.7105
Pt La H
2 1 1
Direct
0.2500 0.2500 0.2500
0.7500 0.7500 0.7500
0.5000 0.5000 0.5000
0.0000 0.0000 0.0000
```


Record 6
VASP calculation (GGA-PBEsol) on an optimized crystal structure of LaPtW3.

Output
Its density of states at the Fermi level is 1.716 states/eV/atom. For the total energy, the calculation gives -45.4 eV/cell.

POSCAR file:
```
LaPtW3
1.0
-3.0648 0.3684 3.7338
3.5267 -1.3626 3.0292
1.2805 4.6344 0.5938
La W Pt
1 3 1
Direct
0.5000 0.5000 0.5000
0.0000 0.0000 0.5000
0.5000 0.0000 0.0000
0.0000 0.5000 0.0000
0.0000 0.0000 0.0000
```